[1]
# MnCoAg2, optimized geometry, DFT PBE
# **Energy of formation**: 41 kJ/mol of atoms
data_MnCoAg2
_cell_length_a 3.309
_cell_length_b 3.309
_cell_length_c 5.650
_cell_angle_alpha 90.00
_cell_angle_beta 90.00
_cell_angle_gamma 90.00
_space_group_name_H-M_alt 'P 4/m m m'
_space_group_IT_number 123
_space_group_name_Hall '-P 4 2'
loop_
_atom_site_label
_atom_site_fract_x
_atom_site_fract_y
_atom_site_fract_z
Mn1 0.000 0.000 0.000
Co1 0.000 0.000 0.500
Ag1 0.500 0.500 0.256

=====

[2]
First-principles (PBE) data for a geometry-optimized Mn2ReSi structure, as listed in the Alexandria database.

```
data_Mn2ReSi
_cell_length_a 2.921
_cell_length_b 4.032
_cell_length_c 8.179
_cell_angle_alpha 90.00
_cell_angle_beta 90.00
_cell_angle_gamma 90.00
_space_group_name_H-M_alt 'I m m 2'
_space_group_IT_number 44
loop_
_space_group_symop_operation_xyz
'x,y,z'
'-x,-y,z'
'-x,y,z'
'x,-y,z'
'x+1/2,y+1/2,z+1/2'
'-x+1/2,-y+1/2,z+1/2'
'-x+1/2,y+1/2,z+1/2'
'x+1/2,-y+1/2,z+1/2'
loop_
_atom_site_label
_atom_site_fract_x
_atom_site_fract_y
_atom_site_fract_z
Mn1 0.000 0.000 0.000
Mn2 0.000 0.500 0.240
Re1 0.000 0.000 0.484
Si1 0.000 0.500 0.731
```

=====

Number 1: raw total energy -20.3 eV/cell, M_tot 5.4 μB/f.u.. Number 2: raw total energy -73.7 eV/cell, M_tot 0.0 μB/f.u..